Compound: SnP2OF
Source: Alexandria via LeMat-Bulk
Functional: PBE
Structure: optimized geometry

The size of the total moment comes out at 0.83 μB per formula unit. Its energy above the most stable polymorph in this dataset is 0.00 eV/f.u. The raw total energy is -19.580 eV per formula unit. The formation energy from raw total energies is 0.414 eV/atom.

Unit cell a=4.0076 b=4.0076 c=5.0871 alpha=90.00 beta=90.00 gamma=90.00
Closest atoms and distances in Å follow each position.
Atoms (fractional coordinates):
1 P 0.5000 0.0000 0.0000  2 F 2.00
2 P 0.0000 0.5000 0.0000  2 F 2.00
3 Sn 0.5000 0.5000 0.5000  4 O 2.83
4 O 0.0000 0.0000 0.5000  2 F 2.54, 4 Sn 2.83
5 F 0.0000 0.0000 0.0000  4 P 2.00

=====

Compound: SnPO2F
Source: Alexandria via LeMat-Bulk
Functional: PBE
Structure: optimized geometry

The size of the total moment comes out at 0.60 μB per formula unit. The raw total energy is -22.301 eV per formula unit. The formation energy from raw total energies is -0.220 eV/atom.

Unit cell a=3.8865 b=3.8865 c=5.6573 alpha=90.00 beta=90.00 gamma=90.00
Closest atoms and distances in Å follow each position.
Atoms (fractional coordinates):
1 O 0.0000 0.5000 0.0000  2 Sn 1.94
2 O 0.5000 0.0000 0.0000  2 Sn 1.94
3 Sn 0.0000 0.0000 0.0000  4 O 1.94
4 F 0.5000 0.5000 0.5000  4 P 2.75
5 P 0.0000 0.0000 0.5000  4 F 2.75, 2 Sn 2.83

=====

Compound: SrPO2F
Source: Alexandria via LeMat-Bulk
Functional: PBE
Structure: optimized geometry

The size of the total moment comes out at 0.00 μB per formula unit. The raw total energy is -20.414 eV per formula unit. The formation energy from raw total energies is -0.307 eV/atom.

Unit cell a=4.6538 b=4.6538 c=4.4247 alpha=90.00 beta=90.00 gamma=90.00
Closest atoms and distances in Å follow each position.
Atoms (fractional coordinates):
1 P 0.5000 0.5000 0.5000  8 O 3.21, 4 F 3.29
2 Sr 0.0000 0.0000 0.0000  2 F 2.21, 4 O 2.33
3 O 0.0000 0.5000 0.0000  2 Sr 2.33
4 O 0.5000 0.0000 0.0000  2 Sr 2.33
5 F 0.0000 0.0000 0.5000  2 Sr 2.21

=====

Compound: SrPO2F
Source: Alexandria via LeMat-Bulk
Functional: PBE
Structure: optimized geometry

The size of the total moment comes out at 4.27 μB per formula unit. The raw total energy is -18.303 eV per formula unit. The formation energy from raw total energies is 0.115 eV/atom.

Unit cell a=4.4886 b=4.4886 c=7.5499 alpha=90.00 beta=90.00 gamma=90.00
Closest atoms and distances in Å follow each position.
Atoms (fractional coordinates):
1 O 0.0000 0.5000 0.0000  2 Sr 2.24
2 O 0.5000 0.0000 0.0000  2 Sr 2.24
3 F 0.5000 0.5000 0.5000  4 P 3.17
4 P 0.0000 0.0000 0.5000  4 F 3.17
5 Sr 0.0000 0.0000 0.0000  4 O 2.24

=====

Compound: Sr5P3O12F
Source: Alexandria via LeMat-Bulk
Functional: PBE
Structure: optimized geometry

The size of the total moment comes out at 0.00 μB per formula unit. The raw total energy is -149.267 eV per formula unit. The formation energy from raw total energies is -3.012 eV/atom.

Unit cell a=9.8465 b=9.8465 c=7.3568 alpha=90.00 beta=90.00 gamma=120.00
Closest atoms and distances in Å follow each position.
Atoms (fractional coordinates):
1 O 0.1188 0.5820 0.7500  1 P 1.56
2 O 0.3302 0.4800 0.2500  1 P 1.56
3 O 0.6698 0.5200 0.7500  1 P 1.56
4 O 0.9164 0.6557 0.0788  1 P 1.56
5 O 0.7393 0.0836 0.0788  1 P 1.56
6 O 0.0836 0.3443 0.5788  1 P 1.56
7 O 0.2607 0.9164 0.5788  1 P 1.56
8 O 0.0836 0.3443 0.9212  1 P 1.56
9 O 0.3443 0.2607 0.0788  1 P 1.56
10 O 0.1498 0.6698 0.2500  1 P 1.56
11 O 0.8812 0.4180 0.2500  1 P 1.56
12 O 0.8502 0.3302 0.7500  1 P 1.56
13 O 0.4800 0.1498 0.7500  1 P 1.56
14 O 0.5820 0.4633 0.2500  1 P 1.56
15 O 0.7393 0.0836 0.4212  1 P 1.56
16 O 0.6557 0.7393 0.5788  1 P 1.56
17 O 0.5367 0.1188 0.2500  1 P 1.56
18 O 0.9164 0.6557 0.4212  1 P 1.56
19 O 0.3443 0.2607 0.4212  1 P 1.56
20 O 0.4633 0.8812 0.7500  1 P 1.56
21 O 0.6557 0.7393 0.9212  1 P 1.56
22 O 0.4180 0.5367 0.7500  1 P 1.56
23 O 0.2607 0.9164 0.9212  1 P 1.56
24 O 0.5200 0.8502 0.2500  1 P 1.56
25 P 0.0311 0.3990 0.7500  4 O 1.56
26 P 0.3679 0.9689 0.7500  4 O 1.56
27 P 0.3990 0.3679 0.2500  4 O 1.56
28 P 0.6321 0.0311 0.2500  4 O 1.56
29 P 0.6010 0.6321 0.7500  4 O 1.56
30 P 0.9689 0.6010 0.2500  4 O 1.56
31 F 0.0000 0.0000 0.2500  3 Sr 2.44
32 F 0.0000 0.0000 0.7500  3 Sr 2.44
33 Sr 0.3333 0.6667 0.9996  6 O 2.59-2.60
34 Sr 0.2420 0.9886 0.2500  1 F 2.44, 5 O 2.52-2.66
35 Sr 0.6667 0.3333 0.0004  6 O 2.59-2.60
36 Sr 0.7467 0.7580 0.2500  1 F 2.44, 5 O 2.52-2.66
37 Sr 0.6667 0.3333 0.4996  6 O 2.59-2.60
38 Sr 0.7580 0.0114 0.7500  1 F 2.44, 5 O 2.52-2.66
39 Sr 0.0114 0.2533 0.2500  1 F 2.44, 5 O 2.52-2.66
40 Sr 0.9886 0.7467 0.7500  1 F 2.44, 5 O 2.52-2.66
41 Sr 0.3333 0.6667 0.5004  6 O 2.59-2.60
42 Sr 0.2533 0.2420 0.7500  1 F 2.44, 5 O 2.52-2.66

=====

Compound: SrPO2F
Source: Alexandria via LeMat-Bulk
Functional: PBE
Structure: optimized geometry

The size of the total moment comes out at 0.25 μB per formula unit. The raw total energy is -21.351 eV per formula unit. The formation energy from raw total energies is -0.494 eV/atom.

Unit cell a=4.6623 b=4.6623 c=3.4857 alpha=90.00 beta=90.00 gamma=90.00
Closest atoms and distances in Å follow each position.
Atoms (fractional coordinates):
1 F 0.0000 0.0000 0.0000  2 P 1.74
2 O 0.5000 0.0000 0.0000  2 F 2.33
3 O 0.0000 0.5000 0.0000  2 F 2.33
4 P 0.0000 0.0000 0.5000  2 F 1.74
5 Sr 0.5000 0.5000 0.5000  8 O 2.91

=====

Compound: SrPO2F
Source: Alexandria via LeMat-Bulk
Functional: PBE
Structure: optimized geometry

The size of the total moment comes out at 0.00 μB per formula unit. The raw total energy is -28.502 eV per formula unit. The formation energy from raw total energies is -1.924 eV/atom.

Unit cell a=3.8949 b=3.8949 c=4.3264 alpha=90.00 beta=90.00 gamma=90.00
Closest atoms and distances in Å follow each position.
Atoms (fractional coordinates):
1 F 0.0000 0.0000 0.5000  2 P 2.16
2 O 0.0000 0.5000 0.0000  2 P 1.95
3 O 0.5000 0.0000 0.0000  2 P 1.95
4 P 0.0000 0.0000 0.0000  4 O 1.95, 2 F 2.16
5 Sr 0.5000 0.5000 0.5000  4 F 2.75, 8 O 2.91

=====

Compound: TaPO2F
Source: Alexandria via LeMat-Bulk
Functional: PBE
Structure: optimized geometry

The size of the total moment comes out at 0.76 μB per formula unit. The raw total energy is -36.085 eV per formula unit. The formation energy from raw total energies is -1.407 eV/atom.

Unit cell a=3.8303 b=3.8303 c=5.3802 alpha=90.00 beta=90.00 gamma=90.00
Closest atoms and distances in Å follow each position.
Atoms (fractional coordinates):
1 Ta 0.0000 0.0000 0.0000  4 O 1.92
2 O 0.0000 0.5000 0.0000  2 Ta 1.92
3 O 0.5000 0.0000 0.0000  2 Ta 1.92
4 F 0.5000 0.5000 0.5000  4 P 2.71
5 P 0.0000 0.0000 0.5000  2 Ta 2.69, 4 F 2.71

=====

> What is the size of the total moment in the third record?

0.00 μB per formula unit

=====

> Which of these has the highest formation energy from raw total energies?

SnP2OF

=====

> Look up the raw total energy of the sixth one.

-21.351 eV per formula unit

=====

> Which of these has the highest raw total energy?

number 4